# Er8Bi5Sb PBE relaxed
data_Er8Bi5Sb
_symmetry_space_group_name_H-M 'I -4'
_symmetry_Int_Tables_number 82
_symmetry_space_group_name_Hall 'I -4'
_cell_length_a 9.267
_cell_length_b 9.267
_cell_length_c 9.319
_cell_angle_alpha 90.00
_cell_angle_beta 90.00
_cell_angle_gamma 90.00
loop_
_atom_site_label
_atom_site_fract_x
_atom_site_fract_y
_atom_site_fract_z
_atom_site_occupancy
Er1 0.073 0.325 0.046 1
Er2 0.074 0.182 0.699 1
Bi1 0.000 0.000 0.000 1
Bi2 0.122 0.249 0.372 1
Sb1 0.000 0.500 0.750 1
# - uncorrected energy (eV/atom) = -5.005
# - calculated volume (Å³/cell) = 800.2
# - magnetic moment (μB/f.u.) = 0.0
# - energy relative to the elements, uncorrected (kJ/mol of formula units) = -969



# Ce4Os2Ru PBE relaxed
data_Ce4Os2Ru
_symmetry_space_group_name_H-M 'C 1 2 1'
_symmetry_Int_Tables_number 5
_symmetry_space_group_name_Hall 'C 2y'
_cell_length_a 12.307
_cell_length_b 8.456
_cell_length_c 8.419
_cell_angle_alpha 90.00
_cell_angle_beta 132.99
_cell_angle_gamma 90.00
loop_
_atom_site_label
_atom_site_fract_x
_atom_site_fract_y
_atom_site_fract_z
_atom_site_occupancy
Ce1 0.009 0.000 0.209 1
Ce2 0.113 0.623 0.431 1
Ce3 0.176 0.397 0.113 1
Ce4 0.188 0.276 0.739 1
Os1 0.000 0.696 0.000 1
Os2 0.000 0.888 0.500 1
Os3 0.200 0.628 0.874 1
Ru1 0.122 0.314 0.392 1
# - uncorrected energy (eV/atom) = -8.132
# - calculated volume (Å³/cell) = 640.8
# - magnetic moment (μB/f.u.) = 0.0
# - formation enthalpy at 0 K (eV per atom) = -0.208